## CrBOF2 (PBE with a Hubbard U)

Data for an optimized crystal structure of CrBOF2.

The total magnetization is 3.000 μB/f.u. Its energy relative to the lowest polymorph listed for this composition is 599 meV per atom.

The space group is P4/mmm (No. 123) and the conventional cell measures 3.912, 3.912 and 3.910 Å, with angles of 90.00, 90.00 and 90.00 degrees. Symmetry generates all atoms from Cr at (0.000, 0.000, 0.000), B at (0.500, 0.500, 0.500), O at (0.000, 0.000, 0.500) and F at (0.000, 0.500, 0.000).